Record 1
LiTiO after structural relaxation. Source: the Alexandria database, functional GGA-PBE.

a b c (Å): 8.173 8.173 5.963
angles (deg): 106.26 106.26 28.36
Sites, in units of the cell vectors:
Li1 0.026 0.026 0.268
Li2 0.394 0.394 0.250
Li3 0.606 0.606 0.750
Li4 0.974 0.974 0.732
Ti1 0.201 0.201 0.085
Ti2 0.213 0.213 0.602
Ti3 0.787 0.787 0.398
Ti4 0.799 0.799 0.915
O1 0.303 0.303 0.409
O2 0.310 0.310 0.929
O3 0.690 0.690 0.071
O4 0.697 0.697 0.591

Computed properties:
Energy ... -6.3570 eV/atom
Spin magnetization ... 0.0000 μB/atom
Symmetry ... C2/m
ΔE_f (raw) ... -4.30 eV per formula unit

Record 2
LiTi2O4 after structural relaxation. Source: the Alexandria database, functional GGA-PBE.

a b c (Å): 8.236 3.838 9.086
angles (deg): 90.00 90.09 90.00
Sites, in units of the cell vectors:
Li1 0.004 0.250 0.404
Li2 0.250 0.250 0.090
Li3 0.750 0.750 0.910
Li4 0.996 0.750 0.596
Ti1 0.013 0.250 0.859
Ti2 0.261 0.250 0.643
Ti3 0.276 0.750 0.370
Ti4 0.490 0.250 0.862
Ti5 0.510 0.750 0.138
Ti6 0.724 0.250 0.630
Ti7 0.739 0.750 0.357
Ti8 0.987 0.750 0.141
O1 0.001 0.750 0.355
O2 0.008 0.250 0.099
O3 0.241 0.750 0.600
O4 0.247 0.250 0.406
O5 0.249 0.250 0.865
O6 0.249 0.750 0.159
O7 0.492 0.250 0.097
O8 0.497 0.250 0.641
O9 0.503 0.750 0.359
O10 0.508 0.750 0.903
O11 0.751 0.250 0.841
O12 0.751 0.750 0.135
O13 0.753 0.750 0.594
O14 0.759 0.250 0.400
O15 0.992 0.750 0.901
O16 0.999 0.250 0.645

Computed properties:
Energy ... -8.1764 eV/atom
Spin magnetization ... 0.0000 μB/atom
Symmetry ... P2_1/m
ΔE to the lowest computed polymorph ... 31 meV/atom
ΔE_f (raw) ... -19.70 eV per formula unit

Record 3
LiTi4O8 after structural relaxation. Source: the Alexandria database, functional GGA-PBE.

a b c (Å): 6.493 6.493 6.575
angles (deg): 106.68 106.68 34.23
Sites, in units of the cell vectors:
Li1 0.000 0.000 0.000
Ti1 0.161 0.441 0.711
Ti2 0.260 0.536 0.300
Ti3 0.464 0.740 0.700
Ti4 0.559 0.839 0.289
O1 0.092 0.377 0.344
O2 0.223 0.530 0.995
O3 0.289 0.596 0.635
O4 0.404 0.711 0.365
O5 0.470 0.777 0.005
O6 0.623 0.908 0.656
O7 0.718 0.007 0.289
O8 0.993 0.282 0.711

Computed properties:
Energy ... -8.5186 eV/atom
Spin magnetization ... 0.0802 μB/atom
Symmetry ... C2
ΔE to the lowest computed polymorph ... 12 meV/atom
ΔE_f (raw) ... -37.58 eV per formula unit

Record 4
Li2Ti6O13 after structural relaxation. Source: the Alexandria database, functional GGA-PBE.

a b c (Å): 7.996 7.996 9.248
angles (deg): 99.35 99.35 27.34
Sites, in units of the cell vectors:
Li1 0.049 0.049 0.253
Li2 0.951 0.951 0.747
Ti1 0.115 0.115 0.594
Ti2 0.168 0.168 0.936
Ti3 0.230 0.230 0.271
Ti4 0.770 0.770 0.729
Ti5 0.832 0.832 0.064
Ti6 0.885 0.885 0.406
O1 0.000 0.000 0.500
O2 0.074 0.074 0.788
O3 0.129 0.129 0.113
O4 0.159 0.159 0.405
O5 0.239 0.239 0.742
O6 0.296 0.296 0.072
O7 0.353 0.353 0.388
O8 0.647 0.647 0.612
O9 0.704 0.704 0.928
O10 0.761 0.761 0.258
O11 0.841 0.841 0.595
O12 0.871 0.871 0.887
O13 0.926 0.926 0.212

Computed properties:
Energy ... -8.4125 eV/atom
Spin magnetization ... 0.0000 μB/atom
Symmetry ... C2/m
ΔE_f (raw) ... -61.01 eV per formula unit

Record 5
Li4Ti11O24 after structural relaxation. Source: the Alexandria database, functional GGA-PBE.

a b c (Å): 5.063 8.908 9.630
angles (deg): 90.15 90.03 90.07
Sites, in units of the cell vectors:
Li1 0.000 0.000 0.000
Li2 0.002 0.668 0.993
Li3 0.537 0.832 0.100
Li4 0.637 0.658 0.492
Ti1 0.009 0.992 0.312
Ti2 0.012 0.330 0.315
Ti3 0.064 0.667 0.302
Ti4 0.085 0.835 0.594
Ti5 0.111 0.495 0.591
Ti6 0.122 0.163 0.588
Ti7 0.513 0.161 0.097
Ti8 0.542 0.503 0.094
Ti9 0.577 0.661 0.821
Ti10 0.589 0.990 0.817
Ti11 0.629 0.322 0.817
O1 0.218 0.836 0.226
O2 0.238 0.165 0.226
O3 0.255 0.995 0.489
O4 0.258 0.498 0.228
O5 0.263 0.333 0.489
O6 0.268 0.667 0.487
O7 0.369 0.010 0.978
O8 0.369 0.654 0.982
O9 0.384 0.831 0.726
O10 0.399 0.332 0.986
O11 0.403 0.499 0.722
O12 0.412 0.169 0.722
O13 0.744 0.330 0.180
O14 0.763 0.014 0.172
O15 0.777 0.506 0.913
O16 0.779 0.832 0.904
O17 0.780 0.159 0.912
O18 0.783 0.647 0.170
O19 0.860 0.825 0.417
O20 0.875 0.168 0.418
O21 0.876 0.500 0.417
O22 0.879 0.664 0.665
O23 0.900 0.001 0.677
O24 0.911 0.333 0.682

Computed properties:
Energy ... -8.3470 eV/atom
Spin magnetization ... 0.0000 μB/atom
Symmetry ... P1
ΔE to the lowest computed polymorph ... 0 meV/atom
ΔE_f (raw) ... -112.04 eV per formula unit

Record 6
Li7Ti16O32 after structural relaxation. Source: the Alexandria database, functional GGA-PBE.

a b c (Å): 10.363 10.363 10.363
angles (deg): 131.79 131.79 70.56
Sites, in units of the cell vectors:
Li1 0.000 0.000 0.000
Li2 0.127 0.624 0.000
Li3 0.250 0.750 0.500
Li4 0.376 0.376 0.503
Li5 0.624 0.127 0.000
Li6 0.750 0.250 0.500
Li7 0.873 0.873 0.497
Ti1 0.062 0.311 0.000
Ti2 0.066 0.314 0.504
Ti3 0.188 0.188 0.750
Ti4 0.190 0.686 0.752
Ti5 0.311 0.062 0.000
Ti6 0.314 0.066 0.504
Ti7 0.438 0.438 0.250
Ti8 0.438 0.934 0.248
Ti9 0.562 0.810 0.496
Ti10 0.562 0.812 0.000
Ti11 0.686 0.190 0.752
Ti12 0.689 0.689 0.751
Ti13 0.810 0.562 0.496
Ti14 0.812 0.562 0.000
Ti15 0.934 0.438 0.248
Ti16 0.938 0.938 0.249
O1 0.045 0.543 0.225
O2 0.056 0.556 0.724
O3 0.069 0.069 0.275
O4 0.081 0.081 0.775
O5 0.168 0.444 0.500
O6 0.180 0.955 0.499
O7 0.194 0.418 0.000
O8 0.206 0.931 0.000
O9 0.288 0.288 0.717
O10 0.306 0.306 0.225
O11 0.319 0.820 0.775
O12 0.332 0.832 0.276
O13 0.418 0.194 0.000
O14 0.429 0.712 0.000
O15 0.444 0.168 0.500
O16 0.457 0.681 0.501
O17 0.543 0.045 0.225
O18 0.556 0.056 0.724
O19 0.571 0.571 0.283
O20 0.582 0.582 0.776
O21 0.668 0.944 0.500
O22 0.681 0.457 0.501
O23 0.694 0.919 0.000
O24 0.712 0.429 0.000
O25 0.794 0.794 0.725
O26 0.806 0.806 0.224
O27 0.820 0.319 0.775
O28 0.832 0.332 0.276
O29 0.919 0.694 0.000
O30 0.931 0.206 0.000
O31 0.944 0.668 0.500
O32 0.955 0.180 0.499

Computed properties:
Energy ... -8.2818 eV/atom
Spin magnetization ... 0.0003 μB/atom
Symmetry ... I-42m
ΔE to the lowest computed polymorph ... 0 meV/atom
ΔE_f (raw) ... -157.12 eV per formula unit

Record 7
LiTi3O after structural relaxation. Source: the Alexandria database, functional GGA-PBE.

a b c (Å): 4.129 4.129 4.129
angles (deg): 90.00 90.00 90.00
Sites, in units of the cell vectors:
Li1 0.000 0.000 0.000
Ti1 0.000 0.500 0.500
Ti2 0.500 0.000 0.500
Ti3 0.500 0.500 0.000
O1 0.500 0.500 0.500

Computed properties:
Energy ... -7.0117 eV/atom
Spin magnetization ... 0.0000 μB/atom
Symmetry ... Pm-3m
ΔE to the lowest computed polymorph ... 0 meV/atom
ΔE_f (raw) ... -4.50 eV per formula unit

Record 8
LiTi4O8 after structural relaxation. Source: the Alexandria database, functional GGA-PBE.

a b c (Å): 5.063 2.975 9.640
angles (deg): 90.00 91.12 90.00
Sites, in units of the cell vectors:
Li1 0.000 0.000 0.000
Ti1 0.401 0.000 0.815
Ti2 0.472 0.500 0.102
Ti3 0.888 0.500 0.598
Ti4 0.979 0.000 0.327
O1 0.101 0.000 0.687
O2 0.133 0.500 0.423
O3 0.223 0.500 0.927
O4 0.247 0.000 0.177
O5 0.607 0.500 0.731
O6 0.630 0.000 0.991
O7 0.741 0.000 0.493
O8 0.767 0.500 0.229

Computed properties:
Energy ... -8.5147 eV/atom
Spin magnetization ... 0.0823 μB/atom
Symmetry ... Pm
ΔE to the lowest computed polymorph ... 16 meV/atom
ΔE_f (raw) ... -37.53 eV per formula unit